VASP calculation (GGA-PBEsol) on a geometry-optimized TaFeRh structure.

Lattice parameters (Å, degrees): 2.8986 3.4405 8.4845 90.00 90.00 90.00
Closest atoms and distances in Å follow each position.
Space group Imm2 (No. 44)
One atom of each set of equivalent atoms:
Ta  0.0000  0.0000  0.0000 x2  5 Fe 2.64-2.86, 5 Rh 2.69-2.77, 2 Ta 2.90
Fe  0.0000  0.0000  0.3369 x2  5 Rh 2.64-2.86, 5 Ta 2.64-2.86, 2 Fe 2.90
Rh  0.0000  0.0000  0.6740 x2  5 Fe 2.64-2.86, 5 Ta 2.69-2.77, 2 Rh 2.90

Properties
Calculated density   13.33 g/cm³
Formation enthalpy at 0 K   -18.92 kJ/mol of atoms

VASP calculation (GGA-PBEsol) on a geometry-optimized TaFe2Rh structure.

Lattice parameters (Å, degrees): 3.7037 3.7037 7.6671 90.00 90.00 90.00
Closest atoms and distances in Å follow each position.
Space group I-4m2 (No. 119)
One atom of each set of equivalent atoms:
Ta  0.0000  0.0000  0.0000 x2  8 Fe 2.62-2.67, 4 Rh 2.67
Fe  0.0000  0.0000  0.5000 x2  4 Ta 2.62, 4 Fe 2.67, 4 Rh 2.67
Fe  0.0000  0.5000  0.2500 x2  4 Rh 2.62, 4 Ta 2.67, 4 Fe 2.67
Rh  0.0000  0.5000  0.7500 x2  8 Fe 2.62-2.67, 4 Ta 2.67

Properties
Calculated density   12.49 g/cm³
Formation enthalpy at 0 K   -14.84 kJ/mol of atoms

VASP calculation (GGA-PBEsol) on a geometry-optimized TaFe4Rh structure.

Lattice parameters (Å, degrees): 6.6128 6.6128 6.6128 90.00 90.00 90.00
Closest atoms and distances in Å follow each position.
Space group F-43m (No. 216)
One atom of each set of equivalent atoms:
Ta  0.0000  0.0000  0.0000 x4  12 Fe 2.74, 4 Rh 2.86
Fe  0.1250  0.1250  0.3750 x16  6 Fe 2.34
Rh  0.2500  0.2500  0.7500 x4  12 Fe 2.74, 4 Ta 2.86

Properties
Calculated density   11.65 g/cm³
Formation enthalpy at 0 K   -17.69 kJ/mol of atoms

Summary of V in Å³/cell
85, 105, 289
(order as listed above)